(1)
AlCuTc2Ag: PBEsol geometry, meta-GGA SCAN.

POSCAR file:
```
AlCuTc2Ag
1.0
4.456 0.000 0.000
0.000 4.777 0.000
0.000 0.000 4.777
Cu Tc Ag Al
1 2 1 1
Cartesian
2.228 0.000 0.000
0.000 0.000 2.389
0.000 2.389 0.000
0.000 0.000 0.000
2.228 2.389 2.389
```

Its formation energy is 906 kJ/mol of formula units. The value obtained for the total magnetization is 5.5 μB/f.u.

(2)
DyAlAg2: PBEsol geometry, meta-GGA SCAN.

POSCAR file:
```
DyAlAg2
1.0
4.750 0.000 0.000
2.375 4.113 0.000
2.375 1.371 3.878
Al Ag Dy
1 2 1
Cartesian
4.750 2.742 1.939
2.375 1.371 0.970
7.125 4.113 2.909
0.000 0.000 0.000
```

Its formation energy is -155 kJ/mol of formula units. The value obtained for the total magnetization is 0.0 μB/f.u.

The highest total magnetization belongs to which entry? AlCuTc2Ag